(1)
Computed, not measured: a relaxed DyNbHg crystal at the PBE level of DFT.

**Formation enthalpy at 0 K**: 561.6 meV/atom
**Energy above the lowest structure with this stoichiometry**: 0 meV per atom

Unit cell a=4.8285 b=4.8285 c=4.8285 alpha=60.00 beta=60.00 gamma=60.00
With the nearest neighbours (Å) after each atom.
Fractional coordinates of all 3 atoms:
Dy1 0.0000 0.0000 0.0000  4 Hg 2.96
Nb1 0.5000 0.5000 0.5000  4 Hg 2.96
Hg1 0.2500 0.2500 0.2500  4 Nb 2.96, 4 Dy 2.96



(2)
Computed, not measured: a relaxed LiTbZnTe3 crystal at the PBE level of DFT.

**Energy above the lowest structure with this stoichiometry**: 0 meV per atom

Unit cell a=8.4662 b=4.2826 c=10.4861 alpha=90.00 beta=104.66 gamma=90.00
With the nearest neighbours (Å) after each atom.
Fractional coordinates of all 12 atoms:
Li1 0.1878 0.2500 0.1353  5 Te 2.89-3.02
Li2 0.8122 0.7500 0.8647  5 Te 2.89-3.02
Tb1 0.3224 0.7500 0.8491  6 Te 3.06-3.16
Tb2 0.6776 0.2500 0.1509  6 Te 3.06-3.16
Zn1 0.0818 0.2500 0.5985  4 Te 2.68-2.75
Zn2 0.9182 0.7500 0.4015  4 Te 2.68-2.75
Te1 0.0572 0.2500 0.8482  1 Zn 2.68, 1 Li 2.93
Te2 0.2420 0.7500 0.5379  3 Zn 2.70-2.75
Te3 0.4214 0.7500 0.1561  2 Li 2.89, 3 Tb 3.06-3.12
Te4 0.5786 0.2500 0.8439  2 Li 2.89, 3 Tb 3.06-3.12
Te5 0.7580 0.2500 0.4621  3 Zn 2.70-2.75
Te6 0.9428 0.7500 0.1518  1 Zn 2.68, 1 Li 2.93



(3)
Computed, not measured: a relaxed SrNdAuSe3 crystal at the PBE level of DFT.

**Calculated total energy**: -57.9 eV per cell

Unit cell a=8.1446 b=4.1752 c=10.0001 alpha=90.00 beta=105.39 gamma=90.00
With the nearest neighbours (Å) after each atom.
Fractional coordinates of all 12 atoms:
Sr1 0.2405 0.2500 0.2864  6 Se 3.14-3.19, 1 Au 3.50
Sr2 0.7595 0.7500 0.7136  6 Se 3.14-3.19, 1 Au 3.50
Nd1 0.3075 0.7500 0.8354  6 Se 2.96-2.98, 2 Au 3.30
Nd2 0.6925 0.2500 0.1646  6 Se 2.96-2.98, 2 Au 3.30
Au1 0.1051 0.2500 0.5908  3 Se 2.64-2.72
Au2 0.8949 0.7500 0.4092  3 Se 2.64-2.72
Se1 0.0516 0.2500 0.8400  1 Au 2.64
Se2 0.2903 0.7500 0.5346  2 Au 2.72, 1 Nd 2.97
Se3 0.4267 0.7500 0.1436  3 Nd 2.97-2.98, 2 Sr 3.14
Se4 0.5733 0.2500 0.8564  3 Nd 2.97-2.98, 2 Sr 3.14
Se5 0.7097 0.2500 0.4654  2 Au 2.72, 1 Nd 2.97
Se6 0.9484 0.7500 0.1600  1 Au 2.64



(4)
Computed, not measured: a relaxed PaPPtO crystal at the PBE level of DFT.

**Energy above the lowest structure with this stoichiometry**: 0 meV per atom

Unit cell a=3.8902 b=3.8902 c=8.1333 alpha=90.00 beta=90.00 gamma=90.00
With the nearest neighbours (Å) after each atom.
Fractional coordinates of all 8 atoms:
Pa1 0.2500 0.2500 0.1728  4 O 2.40
Pa2 0.7500 0.7500 0.8272  4 O 2.40
P1 0.2500 0.2500 0.6993  4 Pt 2.53
P2 0.7500 0.7500 0.3007  4 Pt 2.53
Pt1 0.2500 0.7500 0.5000  4 P 2.53, 4 Pt 2.75
Pt2 0.7500 0.2500 0.5000  4 P 2.53, 4 Pt 2.75
O1 0.2500 0.7500 0.0000  4 Pa 2.40
O2 0.7500 0.2500 0.0000  4 Pa 2.40



(5)
Computed, not measured: a relaxed ErAsNO crystal at the PBE level of DFT.

**Energy above the lowest structure with this stoichiometry**: 164 meV per atom

Unit cell a=4.8302 b=4.8302 c=4.6604 alpha=90.00 beta=90.00 gamma=90.00
With the nearest neighbours (Å) after each atom.
Fractional coordinates of all 8 atoms:
Er1 0.2500 0.7500 0.0000  2 O 2.33, 4 N 2.44
Er2 0.7500 0.2500 0.0000  2 O 2.33, 4 N 2.44
As1 0.2500 0.2500 0.4762  1 N 1.86
As2 0.7500 0.7500 0.5238  1 N 1.86
N1 0.2500 0.2500 0.0767  1 As 1.86
N2 0.7500 0.7500 0.9233  1 As 1.86
O1 0.2500 0.7500 0.5000  2 Er 2.33, 4 As 2.42
O2 0.7500 0.2500 0.5000  2 Er 2.33, 4 As 2.42



(6)
Computed, not measured: a relaxed Sc2Cu2Ag crystal at the PBE level of DFT.

**Formation enthalpy at 0 K**: 81.0 meV/atom
**Energy above the lowest structure with this stoichiometry**: 0 meV per atom

Unit cell a=7.1636 b=7.1636 c=7.1636 alpha=150.22 beta=150.22 gamma=42.62
With the nearest neighbours (Å) after each atom.
Fractional coordinates of all 5 atoms:
Sc1 0.1093 0.1093 0.0000  4 Cu 2.63, 1 Sc 2.92
Sc2 0.8907 0.8907 0.0000  4 Cu 2.63, 1 Sc 2.92
Cu1 0.2500 0.7500 0.5000  4 Cu 2.60, 4 Sc 2.63
Cu2 0.7500 0.2500 0.5000  4 Cu 2.60, 4 Sc 2.63
Ag1 0.5000 0.5000 0.0000  8 Sc 2.98